The following is a DFT calculation (GGA-PBEsol) of a relaxed structure of CrPtIN2.

Cell lengths 3.775, 3.775, 7.525 Å; angles 90.00, 90.00, 90.00 degrees
Fractional positions:
Cr: 0.000 0.000 0.000
Pt: 0.500 0.500 0.500
I: 0.500 0.500 0.000
N: 0.000 0.500 0.500
N: 0.500 0.000 0.500

Properties
V: 21.45 A^3/atom
Formation energy from raw total energies: 1.1850 eV per atom
Space-group type: P4/mmm, No. 123
Crystal system: tetragonal
D(E_F): 2.192 states/eV/cell